VASP calculation (PBE+U) on a relaxed structure of Co2BSbO.

volume: 63.0 Å³/f.u.
DFT total energy: -4.75 eV/atom

Cell and atoms, written as CIF:
```
data_Co2BSbO
_cell_length_a 4.6084
_cell_length_b 2.9656
_cell_length_c 4.6084
_cell_angle_alpha 90.00
_cell_angle_beta 90.00
_cell_angle_gamma 90.00
_space_group_name_H-M_alt 'P 1'
_space_group_IT_number 1
loop_
_space_group_symop_operation_xyz
'x,y,z'
loop_
_atom_site_label
_atom_site_type_symbol
_atom_site_fract_x
_atom_site_fract_y
_atom_site_fract_z
O1 O 0.0000 0.5000 0.0000
Co1 Co 0.0000 0.0000 0.5000
B1 B 0.0000 0.0000 0.0000
Co2 Co 0.5000 0.0000 0.0000
Sb1 Sb 0.5000 0.5000 0.5000
```